# PH3Cl (GGA-PBE, optimized geometry)
# ρ, Mg/m³: 2.59
# Polymorph energy (0 for the lowest one), meV/atom: 509
data_PH3Cl
_chemical_formula_sum 'P1 H3 Cl1'
_cell_length_a 3.5436
_cell_length_b 3.5436
_cell_length_c 3.5436
_cell_angle_alpha 90.00
_cell_angle_beta 90.00
_cell_angle_gamma 90.00
_space_group_name_H-M_alt 'P m -3 m'
_space_group_IT_number 221
_space_group_name_Hall '-P 4 2 3'
loop_
_atom_site_label
_atom_site_type_symbol
_atom_site_fract_x
_atom_site_fract_y
_atom_site_fract_z
_atom_site_occupancy
P1 P 0.0000 0.0000 0.0000 1
H1 H 0.0000 0.0000 0.5000 1
Cl1 Cl 0.5000 0.5000 0.5000 1

# PH3Cl (GGA-PBE, optimized geometry)
# ρ, Mg/m³: 1.61
# Polymorph energy (0 for the lowest one), meV/atom: 120
data_PH3Cl
_chemical_formula_sum 'P8 H24 Cl8'
_cell_length_a 6.1060
_cell_length_b 13.1698
_cell_length_c 7.1066
_cell_angle_alpha 90.00
_cell_angle_beta 90.00
_cell_angle_gamma 90.00
_space_group_name_H-M_alt 'C m c e'
_space_group_IT_number 64
_space_group_name_Hall '-C 2ac 2'
loop_
_atom_site_label
_atom_site_type_symbol
_atom_site_fract_x
_atom_site_fract_y
_atom_site_fract_z
_atom_site_occupancy
P1 P 0.0000 0.1400 0.2411 1
H1 H 0.0000 0.0397 0.3161 1
H2 H 0.0000 0.1150 0.0461 1
H3 H 0.2500 0.1806 0.2500 1
Cl1 Cl 0.2500 0.1284 0.7500 1

# P3H12Cl (GGA-PBE, optimized geometry)
# ρ, Mg/m³: 1.01
data_P3H12Cl
_chemical_formula_sum 'P18 H72 Cl6'
_cell_length_a 9.4260
_cell_length_b 9.4260
_cell_length_c 18.0427
_cell_angle_alpha 90.00
_cell_angle_beta 90.00
_cell_angle_gamma 120.00
_space_group_name_H-M_alt 'R 3 c'
_space_group_IT_number 161
_space_group_name_Hall 'R 3 -2"c'
loop_
_atom_site_label
_atom_site_type_symbol
_atom_site_fract_x
_atom_site_fract_y
_atom_site_fract_z
_atom_site_occupancy
P1 P 0.0315 0.4192 0.0000 1
H1 H 0.0114 0.2581 0.0064 1
H2 H 0.0134 0.0653 0.3409 1
H3 H 0.1375 0.4179 0.2756 1
H4 H 0.1466 0.4034 0.3934 1
Cl1 Cl 0.0000 0.0000 0.0032 1

no.,energy (eV/cell)
1,-15.1
2,-136.3
3,-349.2